! Mn2AgO4 | Alexandria | PBE+U | relaxed; values from VASP
&SYSTEM
  ibrav = 0, nat = 14, ntyp = 3
/
ATOMIC_SPECIES
Mn 54.94 Mn.upf
Ag 107.87 Ag.upf
O 16.00 O.upf
CELL_PARAMETERS angstrom
4.2717 -4.3338 0.0000
4.2717 4.3338 0.0000
-4.0295 0.0000 4.5995
ATOMIC_POSITIONS crystal
Mn 0.0000 0.0000 0.0000
Mn 0.0000 0.0000 0.5000
Mn 0.0000 0.5000 0.0000
Mn 0.5000 0.0000 0.5000
Ag 0.3909 0.6091 0.7500
Ag 0.6091 0.3909 0.2500
O 0.1852 0.2155 0.9329
O 0.2100 0.7596 0.0162
O 0.2155 0.1852 0.4329
O 0.2404 0.7900 0.4838
O 0.7596 0.2100 0.5162
O 0.7845 0.8148 0.5671
O 0.7900 0.2404 0.9838
O 0.8148 0.7845 0.0671
! DOS(E_F) = 0.2005 states/eV per atom
! DFT total energy = -91.3 eV for the cell shown
! Crystal system = monoclinic